# In2RhAu2, relaxed, DFT PBE
data_In2RhAu2
_symmetry_space_group_name_H-M 'P 4/m b m'
_symmetry_Int_Tables_number 127
_symmetry_space_group_name_Hall '-P 4 2ab'
_cell_length_a 7.488
_cell_length_b 7.488
_cell_length_c 3.487
_cell_angle_alpha 90.00
_cell_angle_beta 90.00
_cell_angle_gamma 90.00
loop_
_atom_site_label
_atom_site_fract_x
_atom_site_fract_y
_atom_site_fract_z
In1 0.172 0.328 0.000
Rh1 0.000 0.000 0.500
Au1 0.133 0.633 0.500
# **Energy relative to the elements**: 0.0311 eV per atom
# **Volume**: 19.6 Å³/atom

---

# TiTl2GaS4, relaxed, DFT PBE
data_TiTl2GaS4
_symmetry_space_group_name_H-M 'F d d d'
_symmetry_Int_Tables_number 70
_cell_length_a 6.138
_cell_length_b 12.883
_cell_length_c 22.699
_cell_angle_alpha 90.00
_cell_angle_beta 90.00
_cell_angle_gamma 90.00
loop_
_symmetry_equiv_pos_as_xyz
'x,y,z'
'-x,-y,-z'
'-x+1/4,-y+1/4,z'
'x+1/4,y+1/4,-z'
'x,-y+1/4,-z+1/4'
'-x,y+1/4,z+1/4'
'-x+1/4,y,-z+1/4'
'x+1/4,-y,z+1/4'
'x,y+1/2,z+1/2'
'-x,-y+1/2,-z+1/2'
'-x+1/4,-y+3/4,z+1/2'
'x+1/4,y+3/4,-z+1/2'
'x,-y+3/4,-z+3/4'
'-x,y+3/4,z+3/4'
'-x+1/4,y+1/2,-z+3/4'
'x+1/4,-y+1/2,z+3/4'
'x+1/2,y,z+1/2'
'-x+1/2,-y,-z+1/2'
'-x+3/4,-y+1/4,z+1/2'
'x+3/4,y+1/4,-z+1/2'
'x+1/2,-y+1/4,-z+3/4'
'-x+1/2,y+1/4,z+3/4'
'-x+3/4,y,-z+3/4'
'x+3/4,-y,z+3/4'
'x+1/2,y+1/2,z'
'-x+1/2,-y+1/2,-z'
'-x+3/4,-y+3/4,z'
'x+3/4,y+3/4,-z'
'x+1/2,-y+3/4,-z+1/4'
'-x+1/2,y+3/4,z+1/4'
'-x+3/4,y+1/2,-z+1/4'
'x+3/4,-y+1/2,z+1/4'
loop_
_atom_site_label
_atom_site_fract_x
_atom_site_fract_y
_atom_site_fract_z
Ti1 0.125 0.125 0.125
Tl1 0.125 0.125 0.299
Ga1 0.125 0.125 0.625
S1 0.120 0.278 0.428
# **Formation energy from raw total energies**: -0.71 eV/atom
# **Volume**: 28.0 Å³/atom

---

# NdDy2Tl3S6, relaxed, DFT PBE
data_NdDy2Tl3S6
_symmetry_space_group_name_H-M 'C 1 2/m 1'
_symmetry_Int_Tables_number 12
_cell_length_a 7.072
_cell_length_b 12.246
_cell_length_c 7.873
_cell_angle_alpha 90.00
_cell_angle_beta 107.41
_cell_angle_gamma 90.00
loop_
_symmetry_equiv_pos_as_xyz
'x,y,z'
'-x,-y,-z'
'-x,y,-z'
'x,-y,z'
'x+1/2,y+1/2,z'
'-x+1/2,-y+1/2,-z'
'-x+1/2,y+1/2,-z'
'x+1/2,-y+1/2,z'
loop_
_atom_site_label
_atom_site_fract_x
_atom_site_fract_y
_atom_site_fract_z
Nd1 0.000 0.000 0.000
Dy1 0.000 0.333 0.000
Tl1 0.000 0.166 0.500
Tl2 0.000 0.500 0.500
S1 0.224 0.500 0.199
S2 0.238 0.171 0.200
# **Formation energy from raw total energies**: -1.48 eV/atom
# **Volume**: 27.1 Å³/atom

---

# AgIr2F8, relaxed, DFT PBE
data_AgIr2F8
_symmetry_space_group_name_H-M 'C 1 2/m 1'
_symmetry_Int_Tables_number 12
_cell_length_a 10.199
_cell_length_b 8.449
_cell_length_c 3.969
_cell_angle_alpha 90.00
_cell_angle_beta 112.81
_cell_angle_gamma 90.00
loop_
_symmetry_equiv_pos_as_xyz
'x,y,z'
'-x,-y,-z'
'-x,y,-z'
'x,-y,z'
'x+1/2,y+1/2,z'
'-x+1/2,-y+1/2,-z'
'-x+1/2,y+1/2,-z'
'x+1/2,-y+1/2,z'
loop_
_atom_site_label
_atom_site_fract_x
_atom_site_fract_y
_atom_site_fract_z
Ag1 0.000 0.000 0.000
Ir1 0.128 0.500 0.128
F1 0.139 0.274 0.140
F2 0.148 0.000 0.647
F3 0.155 0.500 0.655
# **Formation energy from raw total energies**: -1.23 eV/atom
# **Volume**: 14.3 Å³/atom

---

# PAu2I, relaxed, DFT PBE
data_PAu2I
_symmetry_space_group_name_H-M 'I -4 2 d'
_symmetry_Int_Tables_number 122
_symmetry_space_group_name_Hall 'I -4 2bw'
_cell_length_a 6.395
_cell_length_b 6.395
_cell_length_c 10.763
_cell_angle_alpha 90.00
_cell_angle_beta 90.00
_cell_angle_gamma 90.00
loop_
_atom_site_label
_atom_site_fract_x
_atom_site_fract_y
_atom_site_fract_z
P1 0.000 0.000 0.000
Au1 0.171 0.250 0.125
I1 0.000 0.000 0.500
# **Formation energy from raw total energies**: 0.11 eV/atom
# **Volume**: 27.5 Å³/atom

---

# Np2Be4ReSi3, relaxed, DFT PBE
data_Np2Be4ReSi3
_symmetry_space_group_name_H-M 'P -4 m 2'
_symmetry_Int_Tables_number 115
_cell_length_a 3.848
_cell_length_b 3.848
_cell_length_c 9.641
_cell_angle_alpha 90.00
_cell_angle_beta 90.00
_cell_angle_gamma 90.00
loop_
_symmetry_equiv_pos_as_xyz
'x,y,z'
'y,-x,-z'
'-x,-y,z'
'-y,x,-z'
'-x,y,z'
'-y,-x,-z'
'x,-y,z'
'y,x,-z'
loop_
_atom_site_label
_atom_site_fract_x
_atom_site_fract_y
_atom_site_fract_z
Np1 0.000 0.500 0.248
Be1 0.000 0.000 0.500
Be2 0.000 0.500 0.863
Be3 0.500 0.500 0.500
Re1 0.500 0.500 0.000
Si1 0.000 0.000 0.000
Si2 0.000 0.500 0.631
# **Formation energy from raw total energies**: -0.12 eV/atom
# **Volume**: 14.3 Å³/atom

---

# AcPr4In4, relaxed, DFT PBE
data_AcPr4In4
_symmetry_space_group_name_H-M 'P 42/n'
_symmetry_Int_Tables_number 86
_cell_length_a 9.568
_cell_length_b 9.568
_cell_length_c 6.317
_cell_angle_alpha 90.00
_cell_angle_beta 90.00
_cell_angle_gamma 90.00
loop_
_symmetry_equiv_pos_as_xyz
'x,y,z'
'-x,-y,-z'
'-y,x+1/2,z+1/2'
'y,-x+1/2,-z+1/2'
'-x+1/2,-y+1/2,z'
'x+1/2,y+1/2,-z'
'y+1/2,-x,z+1/2'
'-y+1/2,x,-z+1/2'
loop_
_atom_site_label
_atom_site_fract_x
_atom_site_fract_y
_atom_site_fract_z
Ac1 0.250 0.250 0.250
Pr1 0.090 0.826 0.627
In1 0.039 0.139 0.853
# **Energy relative to the elements**: -0.2510 eV per atom
# **Volume**: 32.1 Å³/atom

---

# CaPr3Y2S6, relaxed, DFT PBE
data_CaPr3Y2S6
_symmetry_space_group_name_H-M 'C 1 2/m 1'
_symmetry_Int_Tables_number 12
_cell_length_a 6.923
_cell_length_b 11.993
_cell_length_c 7.061
_cell_angle_alpha 90.00
_cell_angle_beta 108.97
_cell_angle_gamma 90.00
loop_
_symmetry_equiv_pos_as_xyz
'x,y,z'
'-x,-y,-z'
'-x,y,-z'
'x,-y,z'
'x+1/2,y+1/2,z'
'-x+1/2,-y+1/2,-z'
'-x+1/2,y+1/2,-z'
'x+1/2,-y+1/2,z'
loop_
_atom_site_label
_atom_site_fract_x
_atom_site_fract_y
_atom_site_fract_z
Ca1 0.000 0.000 0.000
Pr1 0.000 0.165 0.500
Pr2 0.000 0.500 0.500
Y1 0.000 0.333 0.000
S1 0.242 0.500 0.231
S2 0.246 0.168 0.235
# **Formation energy from raw total energies**: -2.03 eV/atom
# **Volume**: 23.1 Å³/atom

---

# La5Ho6, relaxed, DFT PBE
data_La5Ho6
_symmetry_space_group_name_H-M 'I m m m'
_symmetry_Int_Tables_number 71
_symmetry_space_group_name_Hall '-I 2 2'
_cell_length_a 5.670
_cell_length_b 8.253
_cell_length_c 16.257
_cell_angle_alpha 90.00
_cell_angle_beta 90.00
_cell_angle_gamma 90.00
loop_
_atom_site_label
_atom_site_fract_x
_atom_site_fract_y
_atom_site_fract_z
La1 0.000 0.000 0.000
La2 0.000 0.000 0.303
La3 0.000 0.500 0.337
Ho1 0.000 0.206 0.500
Ho2 0.000 0.297 0.135
# **Energy relative to the elements**: 0.1191 eV per atom
# **Volume**: 34.6 Å³/atom

---

# YTm3Ru4, relaxed, DFT PBE
data_YTm3Ru4
_symmetry_space_group_name_H-M 'P 4/m m m'
_symmetry_Int_Tables_number 123
_symmetry_space_group_name_Hall '-P 4 2'
_cell_length_a 4.760
_cell_length_b 4.760
_cell_length_c 6.751
_cell_angle_alpha 90.00
_cell_angle_beta 90.00
_cell_angle_gamma 90.00
loop_
_atom_site_label
_atom_site_fract_x
_atom_site_fract_y
_atom_site_fract_z
Y1 0.000 0.000 0.000
Tm1 0.000 0.000 0.500
Tm2 0.500 0.500 0.000
Tm3 0.500 0.500 0.500
Ru1 0.000 0.500 0.253
# **Energy relative to the elements**: -0.3768 eV per atom
# **Volume**: 19.1 Å³/atom